Record 1
Crystalline AlSb4 at its relaxed geometry. Source: Alexandria via LeMat-Bulk, functional PBE-GGA.

Cell: 8.494 8.494 3.827 Å, 90.00 90.00 90.00°
Space group I4/m (No. 87)
Asymmetric unit:
1 Al 0.000 0.000 0.000 [2 per cell]
2 Sb 0.082 0.245 0.500 [8 per cell]

The value obtained for the relative energy among the computed polymorphs is 0 meV/atom. For the formation energy without anion corrections, the calculation gives 181.2 meV/atom.

---

Record 2
Crystalline Cs2KCd2 at its relaxed geometry. Source: Alexandria via LeMat-Bulk, functional PBE-GGA.

Cell: 11.147 11.147 4.533 Å, 90.00 90.00 90.00°
Space group P4/mbm (No. 127)
Asymmetric unit:
1 Cs 0.145 0.355 0.000 [4 per cell]
2 K 0.000 0.000 0.000 [2 per cell]
3 Cd 0.147 0.647 0.500 [4 per cell]

The value obtained for the relative energy among the computed polymorphs is 93 meV/atom. The calculated formation energy comes out at 0.34 eV/f.u.

---

Record 3
Crystalline SrOs2Se at its relaxed geometry. Source: Alexandria via LeMat-Bulk, functional PBE-GGA.

Cell: 3.115 5.358 9.662 Å, 90.00 90.00 90.00°
Space group Imm2 (No. 44)
Asymmetric unit:
1 Sr 0.000 0.000 0.000 [2 per cell]
2 Os 0.000 0.000 0.517 [2 per cell]
3 Os 0.000 0.500 0.807 [2 per cell]
4 Se 0.000 0.500 0.217 [2 per cell]

For the formation energy without anion corrections, the calculation gives 648.1 meV/atom.